## NdCdNiRh (PBE)

Data for a geometry-optimized NdCdNiRh structure. Values from VASP.

Properties
Total moment: 0.000 μB/f.u.
Energy relative to the elements: -275 meV/atom
Calculated total energy: -4.98 eV/atom

```
&SYSTEM
  ibrav = 0, nat = 4, ntyp = 4
/
ATOMIC_SPECIES
Nd 144.24 Nd.upf
Cd 112.41 Cd.upf
Ni 58.69 Ni.upf
Rh 102.91 Rh.upf
ATOMIC_POSITIONS angstrom
Nd 0.0000 0.0000 0.0000
Cd 3.3608 3.3608 3.3608
Ni 1.6804 1.6804 1.6804
Rh 5.0412 5.0412 5.0412
CELL_PARAMETERS angstrom
0.0000 3.3608 3.3608
3.3608 0.0000 3.3608
3.3608 3.3608 0.0000
```